A relaxed Dy2ErLu4Te2Pd2 crystal, computed with PBE.

Summary:
Distance to the lowest polymorph of the same formula in meV/atom: 0.0
Calculated total energy in eV per atom: -5.26
Space group: Imm2 (44)
Crystal system: orthorhombic

Cell lengths 9.289, 9.289, 9.289 Å; angles 155.64, 67.14, 118.52 degrees
Fractional coordinates of all 11 atoms:
Dy  0.091  0.735  0.355
Dy  0.380  0.735  0.645
Er  0.999  0.999  0.000
Lu  0.715  0.584  0.131
Lu  0.691  0.373  0.318
Lu  0.055  0.373  0.682
Lu  0.453  0.584  0.869
Pd  0.304  0.065  0.239
Pd  0.827  0.065  0.761
Te  0.340  0.340  0.000
Te  0.732  0.232  0.500